A relaxed structure of TbEr4Mg, computed with GGA-PBE.

## Properties
space-group type	C2/c (15)
E_form	0.030	eV/atom
offset from the most stable computed form	3.7	kJ/mol of atoms
crystal system	monoclinic

a b c (Å): 6.0350 6.0350 11.7247
angles (deg): 104.79 104.79 60.35
Fractional positions:
Tb 0.0000 0.5000 0.0000
Tb 0.5000 0.0000 0.5000
Er 0.1657 0.6698 0.4994
Er 0.2515 0.4159 0.7497
Er 0.3302 0.8343 0.0006
Er 0.4159 0.2515 0.2497
Er 0.5841 0.7485 0.7503
Er 0.6698 0.1657 0.9994
Er 0.7485 0.5841 0.2503
Er 0.8343 0.3302 0.5006
Mg 0.0808 0.9192 0.2500
Mg 0.9192 0.0808 0.7500

***

A relaxed structure of NaSrAg2Cl8, computed with GGA-PBE.

## Properties
space-group type	I-4 (82)
crystal system	tetragonal
uncorrected formation energy	-0.98	eV/atom

a b c (Å): 8.0232 8.0232 8.0232
angles (deg): 126.47 126.47 79.12
Fractional positions:
Na 0.0000 0.0000 0.0000
Sr 0.2500 0.7500 0.5000
Ag 0.5000 0.5000 0.0000
Ag 0.7500 0.2500 0.5000
Cl 0.0298 0.3482 0.9444
Cl 0.2029 0.4538 0.6138
Cl 0.4038 0.0854 0.0556
Cl 0.4109 0.7971 0.2509
Cl 0.5462 0.1600 0.7491
Cl 0.6518 0.5962 0.6816
Cl 0.8400 0.5891 0.3862
Cl 0.9146 0.9702 0.3184

***

A relaxed structure of LaNdHgI, computed with GGA-PBE.

## Properties
space-group type	F-43m (216)
crystal system	cubic
uncorrected formation energy	-0.56	eV/atom

a b c (Å): 5.5493 5.5493 5.5493
angles (deg): 60.00 60.00 60.00
Fractional positions:
La 0.0000 0.0000 0.0000
Nd 0.5000 0.5000 0.5000
Hg 0.2500 0.2500 0.2500
I 0.7500 0.7500 0.7500

***

A relaxed structure of Zr3NbOs, computed with GGA-PBE.

## Properties
space-group type	Pm-3m (221)
E_form	0.688	eV/atom
offset from the most stable computed form	0.0	kJ/mol of atoms
crystal system	cubic

a b c (Å): 5.0103 5.0103 5.0103
angles (deg): 90.00 90.00 90.00
Fractional positions:
Zr 0.0000 0.0000 0.5000
Zr 0.0000 0.5000 0.0000
Zr 0.5000 0.0000 0.0000
Nb 0.5000 0.5000 0.5000
Os 0.0000 0.0000 0.0000

***

A relaxed structure of Ac6Sb5S, computed with GGA-PBE.

## Properties
space-group type	C2/m (12)
crystal system	monoclinic
uncorrected formation energy	-1.34	eV/atom

a b c (Å): 8.1868 8.1868 8.1935
angles (deg): 99.61 99.61 119.97
Fractional positions:
Ac 0.0816 0.4068 0.7450
Ac 0.2427 0.2427 0.2519
Ac 0.4068 0.0816 0.7450
Ac 0.5932 0.9184 0.2550
Ac 0.7573 0.7573 0.7481
Ac 0.9184 0.5932 0.2550
Sb 0.1699 0.8301 0.0000
Sb 0.3338 0.6662 0.5000
Sb 0.5000 0.5000 0.0000
Sb 0.6662 0.3338 0.5000
Sb 0.8301 0.1699 0.0000
S 0.0000 0.0000 0.5000

***

A relaxed structure of Ac5HIrAu2, computed with GGA-PBE.

## Properties
space-group type	Cmc2_1 (36)
crystal system	orthorhombic

a b c (Å): 9.7393 9.7393 13.7348
angles (deg): 90.00 90.00 154.54
Fractional positions:
Ac 0.0006 0.9994 0.5000
Ac 0.1410 0.8590 0.7563
Ac 0.1976 0.8024 0.1114
Ac 0.2010 0.7990 0.4086
Ac 0.4520 0.5480 0.7431
Ac 0.5480 0.4520 0.2431
Ac 0.7990 0.2010 0.9086
Ac 0.8024 0.1976 0.6114
Ac 0.8590 0.1410 0.2563
Ac 0.9994 0.0006 0.0000
H 0.0662 0.9338 0.1518
H 0.9338 0.0662 0.6518
Ir 0.2967 0.7033 0.7595
Ir 0.7033 0.2967 0.2595
Au 0.3782 0.6218 0.0729
Au 0.3792 0.6208 0.4395
Au 0.6208 0.3792 0.9395
Au 0.6218 0.3782 0.5729

***

A relaxed structure of HfScRe, computed with GGA-PBE.

## Properties
space-group type	I4mm (107)
E_form	-0.150	eV/atom
offset from the most stable computed form	0.0	kJ/mol of atoms
crystal system	tetragonal

a b c (Å): 5.9485 5.9485 5.9485
angles (deg): 147.54 147.54 46.56
Fractional positions:
Hf 0.0000 0.0000 0.0000
Sc 0.7224 0.7224 0.0000
Re 0.3701 0.3701 0.0000

***

A relaxed structure of CaTb2NpO8, computed with GGA-PBE.

## Properties
space-group type	P2/m (10)
crystal system	monoclinic
uncorrected formation energy	-2.91	eV/atom

a b c (Å): 3.9728 7.5885 5.2624
angles (deg): 90.00 93.36 90.00
Fractional positions:
Ca 0.0000 0.0000 0.0000
Tb 0.5000 0.2545 0.5000
Tb 0.5000 0.7455 0.5000
Np 0.0000 0.5000 0.0000
O 0.0231 0.2876 0.7590
O 0.0231 0.7124 0.7590
O 0.4652 0.5000 0.2290
O 0.5002 0.0000 0.2642
O 0.4998 0.0000 0.7358
O 0.5348 0.5000 0.7710
O 0.9769 0.2876 0.2410
O 0.9769 0.7124 0.2410

***

A relaxed structure of DyTm2Ta, computed with GGA-PBE.

## Properties
space-group type	R-3m (166)
E_form	0.575	eV/atom
crystal system	trigonal

a b c (Å): 11.7358 11.7358 11.7358
angles (deg): 15.87 15.87 15.87
Fractional positions:
Dy 0.0000 0.0000 0.0000
Tm 0.4159 0.4159 0.4159
Tm 0.5841 0.5841 0.5841
Ta 0.5000 0.5000 0.5000

***

A relaxed structure of SiSe4Cl, computed with GGA-PBE.

## Properties
space-group type	F-43m (216)
crystal system	cubic
uncorrected formation energy	0.57	eV/atom

a b c (Å): 5.6741 5.6741 5.6741
angles (deg): 60.00 60.00 60.00
Fractional positions:
Si 0.0000 0.0000 0.0000
Se 0.3741 0.3741 0.3741
Se 0.3741 0.3741 0.8778
Se 0.3741 0.8778 0.3741
Se 0.8778 0.3741 0.3741
Cl 0.7500 0.7500 0.7500

***

A relaxed structure of K2SmAgCl6, computed with GGA-PBE.

## Properties
space-group type	P2_1/c (14)
offset from the most stable computed form	0.0	kJ/mol of atoms
crystal system	monoclinic
uncorrected formation energy	-1.81	eV/atom

a b c (Å): 7.3581 7.7551 12.6236
angles (deg): 90.00 124.77 90.00
Fractional positions:
K 0.2250 0.0732 0.2484
K 0.2250 0.4268 0.7484
K 0.7750 0.5732 0.2516
K 0.7750 0.9268 0.7516
Sm 0.5000 0.0000 0.0000
Sm 0.5000 0.5000 0.5000
Ag 0.0000 0.0000 0.5000
Ag 0.0000 0.5000 0.0000
Cl 0.1498 0.1914 0.9480
Cl 0.1498 0.3086 0.4480
Cl 0.2594 0.7078 0.9472
Cl 0.2594 0.7922 0.4472
Cl 0.3532 0.0306 0.7488
Cl 0.3532 0.4694 0.2488
Cl 0.6468 0.5306 0.7512
Cl 0.6468 0.9694 0.2512
Cl 0.7406 0.2078 0.5528
Cl 0.7406 0.2922 0.0528
Cl 0.8502 0.6914 0.5520
Cl 0.8502 0.8086 0.0520

***

A relaxed structure of Pm2NdTl2, computed with GGA-PBE.

## Properties
space-group type	P6_3/mmc (194)
E_form	-0.045	eV/atom
offset from the most stable computed form	13.0	kJ/mol of atoms
crystal system	hexagonal

a b c (Å): 5.2718 5.2718 13.1184
angles (deg): 90.00 90.00 120.00
Fractional positions:
Pm 0.0000 0.0000 0.0000
Pm 0.0000 0.0000 0.5000
Pm 0.3333 0.6667 0.2500
Pm 0.6667 0.3333 0.7500
Nd 0.0000 0.0000 0.2500
Nd 0.0000 0.0000 0.7500
Tl 0.3333 0.6667 0.6274
Tl 0.3333 0.6667 0.8726
Tl 0.6667 0.3333 0.1274
Tl 0.6667 0.3333 0.3726

***

Computed final energy (eV/atom) in order:
-4.049 -2.932 -3.450 -8.701 -5.458 -5.000 -9.728 -8.228 -5.774 -2.962 -3.891 -3.846